[1]
# MgAl3Au2

Crystalline MgAl3Au2 at its relaxed geometry (PBE, Alexandria via LeMat-Bulk).

Properties
DOS at the Fermi energy, states/eV/cell: 2.12
Crystal system: orthorhombic
VASP energy, eV per atom: -3.62

Cell and atoms, written as POSCAR:
```
MgAl3Au2
1.0
3.9570 0.0000 0.0000
0.0000 8.1072 0.0000
0.0000 0.0000 6.6655
Mg Al Au
2 6 4
Cartesian
0.0000 0.6898 0.0000
0.0000 7.4174 3.3328
0.0000 2.4475 3.9841
0.0000 5.6597 0.6514
1.9785 1.6032 2.0869
1.9785 3.3122 6.0768
1.9785 4.7950 2.7440
1.9785 6.5040 5.4197
0.0000 3.2358 1.4422
0.0000 4.8714 4.7750
1.9785 0.8966 4.6721
1.9785 7.2106 1.3394
```

[2]
# Mg2AlAu3

Crystalline Mg2AlAu3 at its relaxed geometry (PBE, Alexandria via LeMat-Bulk).

Properties
DOS at the Fermi energy, states/eV/cell: 1.33
Crystal system: orthorhombic
VASP energy, eV per atom: -3.32

Cell and atoms, written as POSCAR:
```
Mg2AlAu3
1.0
2.3256 -7.0413 0.0000
2.3256 7.0413 0.0000
0.0000 0.0000 3.2008
Mg Al Au
2 1 3
Cartesian
2.3256 4.6089 0.0000
2.3256 -4.6089 0.0000
2.3256 0.0000 0.0000
0.0000 0.0000 1.6004
2.3256 2.1733 1.6004
2.3256 -2.1733 1.6004
```

[3]
# MgAl2Au3

Crystalline MgAl2Au3 at its relaxed geometry (PBE, Alexandria via LeMat-Bulk).

Properties
Polymorph energy (0 for the lowest one), meV per atom: 6
DOS at the Fermi energy, states/eV/cell: 0.93
Crystal system: tetragonal

Cell and atoms, written as POSCAR:
```
MgAl2Au3
1.0
3.2702 0.0000 0.0000
0.0000 3.2702 0.0000
0.0000 0.0000 9.5866
Mg Al Au
1 2 3
Cartesian
0.0000 0.0000 0.0000
0.0000 0.0000 3.2164
0.0000 0.0000 6.3702
1.6351 1.6351 1.7248
1.6351 1.6351 4.7933
1.6351 1.6351 7.8617
```